(1)
Computed, not measured: crystalline ScBe3Pd at its relaxed geometry at the PBE-GGA level of DFT.

Unit cell a=4.196 b=4.196 c=4.196 alpha=90.00 beta=90.00 gamma=90.00
Atoms (fractional coordinates):
Sc 0.500 0.500 0.500
Be 0.500 0.000 0.000
Be 0.000 0.000 0.500
Be 0.000 0.500 0.000
Pd 0.000 0.000 0.000

=====

(2)
Computed, not measured: crystalline Tb14DyHo at its relaxed geometry at the PBE-GGA level of DFT.

Unit cell a=7.106 b=7.106 c=10.032 alpha=90.00 beta=90.00 gamma=89.99
Atoms (fractional coordinates):
Tb 0.125 0.375 0.250
Tb 0.125 0.875 0.250
Tb 0.375 0.625 0.500
Tb 0.875 0.125 0.500
Tb 0.625 0.875 0.750
Tb 0.625 0.375 0.250
Tb 0.125 0.375 0.750
Tb 0.625 0.875 0.250
Tb 0.375 0.125 0.000
Tb 0.375 0.125 0.500
Tb 0.625 0.375 0.750
Tb 0.875 0.625 0.500
Tb 0.875 0.625 0.000
Tb 0.125 0.875 0.750
Ho 0.875 0.125 0.000
Dy 0.375 0.625 0.000

=====

no.,energy of formation (eV per atom)
1,0.042
2,0.014